Entry 1:
Rb3Te3Au | PBE | relaxed

abc: 10.842 10.842 10.842
angles: 151.58 151.11 40.98
Fractional positions:
Rb (0.000, 0.000, 0.000)
Rb (0.181, 0.681, 0.500)
Rb (0.363, 0.363, 0.000)
Te (0.548, 0.548, 0.000)
Te (0.747, 0.247, 0.500)
Te (0.813, 0.813, 0.000)
Au (0.610, 0.110, 0.500)

Computed properties:
As for the electronic total energy: -20.3 eV per cell. The space group is Imm2 (44). The value obtained for the size of the total moment is 0.00 μB per formula unit.

***

Entry 2:
LiTcBr2 | PBE | relaxed

abc: 5.076 5.076 5.076
angles: 60.00 60.00 60.00
Fractional positions:
Li (0.000, 0.000, 0.000)
Tc (0.750, 0.750, 0.750)
Br (0.250, 0.250, 0.250)
Br (0.500, 0.500, 0.500)

Computed properties:
As for the electronic total energy: -13.2 eV per cell. The space group is F-43m (216). The value obtained for the size of the total moment is 4.14 μB per formula unit.

***

- What is the electronic total energy in the second record?
  -13.2 eV per cell

***

- What is the size of the total moment in the second record?
  4.14 μB per formula unit

***

- What is the formula in the second record?
  LiTcBr2

***

- Number 2 is which compound?
  LiTcBr2